Below is a relaxed structure of LaSiTc2, with properties calculated at the GGA-PBE level.

```
LaSiTc2
1.0
5.811 -0.906 -0.542
4.823 3.365 -0.542
4.823 1.115 3.220
Tc Si La
2 1 1
Cartesian
1.085 0.251 0.150
6.644 1.536 0.918
11.593 2.680 1.603
3.864 0.893 0.534
```

Calculated total energy ... -8.04 eV per atom
Uncorrected formation energy ... -0.27 eV/atom
N(E_F) ... 2.4 states/eV/f.u.
Space group ... R-3m

---

Below is a relaxed structure of LaSi2Tc, with properties calculated at the GGA-PBE level.

```
LaSi2Tc
1.0
6.659 0.010 -0.002
4.710 4.707 0.002
-5.536 -2.716 2.513
Si Tc La
2 1 1
Cartesian
0.407 0.169 0.000
2.399 -0.591 1.255
5.827 2.418 0.000
2.883 2.363 1.258
```

Calculated total energy ... -6.79 eV per atom
Uncorrected formation energy ... -0.25 eV/atom
N(E_F) ... 3.4 states/eV/f.u.
Space group ... Imm2
E above lowest polymorph ... 406.9 meV/atom

---

Below is a relaxed structure of LaSi2Tc, with properties calculated at the GGA-PBE level.

```
LaSi2Tc
1.0
-0.793 -1.978 -8.519
-3.035 -3.836 -7.293
-3.670 -0.809 -7.937
Si Tc La
2 1 1
Cartesian
-7.381 -6.520 -23.380
-1.850 -1.634 -5.859
-3.868 -3.417 -12.251
-5.646 -4.987 -17.884
```

Calculated total energy ... -6.27 eV per atom
Uncorrected formation energy ... 0.27 eV/atom
N(E_F) ... 4.0 states/eV/f.u.
Space group ... R3m
E above lowest polymorph ... 929.6 meV/atom

---

Below is a relaxed structure of LaSiTc2, with properties calculated at the GGA-PBE level.

```
LaSiTc2
1.0
4.521 0.006 -0.005
3.312 3.077 -0.005
1.054 0.415 5.290
Tc La Si
2 1 1
Cartesian
1.213 0.477 4.905
4.284 1.686 3.026
2.222 0.874 1.320
6.665 2.623 3.961
```

Calculated total energy ... -7.81 eV per atom
Uncorrected formation energy ... -0.04 eV/atom
N(E_F) ... 3.2 states/eV/f.u.
Space group ... C2/m